Record 1
SrAl2Cr: optimized geometry, PBE.

DFT total energy in eV per atom: -4.462
DFT formation energy in eV per atom: 0.24

Lattice parameters (Å, degrees): 4.956 4.956 4.956 60.00 60.00 60.00
Fractional positions:
1 Sr 0.000 0.000 0.000
2 Al 0.250 0.250 0.250
3 Al 0.750 0.750 0.750
4 Cr 0.500 0.500 0.500

***

Record 2
AgSn2Te2: optimized geometry, PBE.

Formation energy from raw total energies in kcal/mol of atoms: 0.81
DFT total energy in eV per atom: -3.393

Lattice parameters (Å, degrees): 8.237 8.237 4.372 90.00 90.00 90.00
Fractional positions:
1 Ag 0.000 0.000 0.000
2 Ag 0.500 0.500 0.000
3 Sn 0.142 0.358 0.500
4 Sn 0.358 0.858 0.500
5 Sn 0.642 0.142 0.500
6 Sn 0.858 0.642 0.500
7 Te 0.175 0.675 0.000
8 Te 0.325 0.175 0.000
9 Te 0.675 0.825 0.000
10 Te 0.825 0.325 0.000

***

Record 3
RbMn2Os: optimized geometry, PBE.

DFT total energy in eV per atom: -5.743
DFT formation energy in eV per atom: 1.89

Lattice parameters (Å, degrees): 4.449 4.449 4.449 60.00 60.00 60.00
Fractional positions:
1 Rb 0.000 0.000 0.000
2 Mn 0.250 0.250 0.250
3 Mn 0.750 0.750 0.750
4 Os 0.500 0.500 0.500

***

Record 4
YNbAs3: optimized geometry, PBE.

DFT total energy in eV per atom: -5.044
DFT formation energy in eV per atom: 1.05

Lattice parameters (Å, degrees): 5.212 5.212 5.212 90.00 90.00 90.00
Fractional positions:
1 Y 0.000 0.000 0.000
2 Nb 0.500 0.500 0.500
3 As 0.000 0.000 0.500
4 As 0.000 0.500 0.000
5 As 0.500 0.000 0.000

***

Record 5
LiAcLuPt: optimized geometry, PBE.

DFT total energy in eV per atom: -4.664
DFT formation energy in eV per atom: -0.52

Lattice parameters (Å, degrees): 5.184 5.184 5.184 60.00 60.00 60.00
Fractional positions:
1 Li 0.000 0.000 0.000
2 Ac 0.250 0.250 0.250
3 Lu 0.750 0.750 0.750
4 Pt 0.500 0.500 0.500

***

Record 6
Li2AcCd2Au: optimized geometry, PBE.

DFT total energy in eV per atom: -2.400
DFT formation energy in eV per atom: -0.23

Lattice parameters (Å, degrees): 8.666 8.666 8.666 150.10 150.10 42.80
Fractional positions:
1 Li 0.152 0.152 0.000
2 Li 0.848 0.848 0.000
3 Ac 0.500 0.500 0.000
4 Cd 0.250 0.750 0.500
5 Cd 0.750 0.250 0.500
6 Au 0.000 0.000 0.000

***

Record 7
Cu2Ag3Br8: optimized geometry, PBE.

Formation energy from raw total energies in kcal/mol of atoms: -6.13
DFT total energy in eV per atom: -2.583

Lattice parameters (Å, degrees): 8.497 10.713 8.493 90.00 108.80 90.00
Fractional positions:
1 Cu 0.248 0.111 0.373
2 Cu 0.248 0.389 0.873
3 Cu 0.752 0.611 0.127
4 Cu 0.752 0.889 0.627
5 Ag 0.228 0.740 0.112
6 Ag 0.228 0.760 0.612
7 Ag 0.500 0.000 0.000
8 Ag 0.500 0.500 0.500
9 Ag 0.772 0.240 0.388
10 Ag 0.772 0.260 0.888
11 Br 0.012 0.244 0.254
12 Br 0.012 0.256 0.754
13 Br 0.247 0.006 0.621
14 Br 0.247 0.494 0.121
15 Br 0.248 0.509 0.629
16 Br 0.248 0.991 0.129
17 Br 0.497 0.246 0.482
18 Br 0.497 0.254 0.982
19 Br 0.503 0.746 0.018
20 Br 0.503 0.754 0.518
21 Br 0.752 0.009 0.871
22 Br 0.752 0.491 0.371
23 Br 0.753 0.506 0.879
24 Br 0.753 0.994 0.379
25 Br 0.988 0.744 0.246
26 Br 0.988 0.756 0.746

***

Record 8
TcNiBr3: optimized geometry, PBE.

Formation energy from raw total energies in kcal/mol of atoms: 13.68
DFT total energy in eV per atom: -3.640

Lattice parameters (Å, degrees): 4.933 4.933 4.933 90.00 90.00 90.00
Fractional positions:
1 Tc 0.000 0.000 0.000
2 Ni 0.500 0.500 0.500
3 Br 0.000 0.500 0.500
4 Br 0.500 0.000 0.500
5 Br 0.500 0.500 0.000

***

Record 9
ScGa4Pt2: optimized geometry, PBE.

DFT total energy in eV per atom: -5.007
DFT formation energy in eV per atom: -0.65

Lattice parameters (Å, degrees): 8.575 8.575 3.372 90.00 90.00 90.00
Fractional positions:
1 Sc 0.000 0.000 0.000
2 Sc 0.500 0.500 0.500
3 Ga 0.071 0.305 0.500
4 Ga 0.195 0.571 0.000
5 Ga 0.305 0.071 0.500
6 Ga 0.429 0.805 0.000
7 Ga 0.571 0.195 0.000
8 Ga 0.695 0.929 0.500
9 Ga 0.805 0.429 0.000
10 Ga 0.929 0.695 0.500
11 Pt 0.201 0.799 0.500
12 Pt 0.299 0.299 0.000
13 Pt 0.701 0.701 0.000
14 Pt 0.799 0.201 0.500

***

Record 10
BaLa2MgTc: optimized geometry, PBE.

DFT total energy in eV per atom: -4.708
DFT formation energy in eV per atom: 0.04

Lattice parameters (Å, degrees): 5.452 5.452 5.732 90.00 90.00 90.00
Fractional positions:
1 Ba 0.000 0.000 0.000
2 La 0.000 0.500 0.500
3 La 0.500 0.000 0.500
4 Mg 0.500 0.500 0.000
5 Tc 0.500 0.500 0.500

***

Record 11
LaCuSn2: optimized geometry, PBE.

DFT total energy in eV per atom: -4.138
DFT formation energy in eV per atom: 0.12

Lattice parameters (Å, degrees): 10.616 10.616 10.616 18.62 18.62 18.62
Fractional positions:
1 La 0.000 0.000 0.000
2 Cu 0.500 0.500 0.500
3 Sn 0.106 0.106 0.106
4 Sn 0.894 0.894 0.894

***

Record 12
Be2FeCo: optimized geometry, PBE.

DFT total energy in eV per atom: -5.918
DFT formation energy in eV per atom: -0.16

Lattice parameters (Å, degrees): 3.763 3.763 3.763 119.90 119.90 90.18
Fractional positions:
1 Be 0.000 0.000 0.000
2 Be 0.750 0.250 0.500
3 Fe 0.250 0.750 0.500
4 Co 0.500 0.500 0.000